Here is a relaxed NdDyTe2As2 crystal from OQMD via LeMat-Bulk. Energies are from PBE-GGA.

a = 4.123 Å, b = 4.123 Å, c = 9.206 Å
α = 90.00°, β = 90.00°, γ = 90.00°
Space group P4mm (No. 99)
Asymmetric unit:
Nd  0.000  0.000  0.000 (multiplicity 1)
Dy  0.500  0.500  0.492 (multiplicity 1)
Te  0.000  0.000  0.377 (multiplicity 1)
Te  0.500  0.500  0.128 (multiplicity 1)
As  0.000  0.500  0.741 (multiplicity 2)

Output
The value obtained for the final energy is -5.315 eV per atom.